Ac2TbMoO8: optimized geometry, PBE+U.

Output
total moment = 1.01 μB/cell
V = 15.38 Å³/atom
uncorrected energy = -7.493 eV/atom

Unit cell a=4.583 b=7.225 c=5.595 alpha=90.00 beta=95.20 gamma=90.00
Space group P2/m (No. 10)
Inequivalent atoms, fractional coordinates:
Ac (0.000, 0.243, 0.000) (multiplicity 2)
Tb (0.500, 0.500, 0.500) (multiplicity 1)
Mo (0.500, 0.000, 0.500) (multiplicity 1)
O (0.089, 0.500, 0.255) (multiplicity 2)
O (0.106, 0.000, 0.342) (multiplicity 2)
O (0.431, 0.205, 0.724) (multiplicity 4)